DFT (GGA+U) results for a relaxed MgMnN2O crystal.

Output
electronic total energy	-5.371	eV/atom

Cell lengths 4.0493, 4.0493, 3.8595 Å; angles 90.00, 90.00, 90.00 degrees
Element x y z (fractional)
Mg (0.0000, 0.0000, 0.0000)
Mn (0.5000, 0.5000, 0.5000)
N (0.0000, 0.5000, 0.0000)
N (0.5000, 0.0000, 0.0000)
O (0.0000, 0.0000, 0.5000)